No. 1
DFT (PBE-GGA) results for an optimized crystal structure of AcPr14Tm.

Size of the total moment   0.0 μB/cell
Total DFT energy (no corrections)   -4.7048 eV/atom
Energy of formation from the pure elements   13.5 meV/atom

Cell: 7.424 7.424 10.524 Å, 90.00 90.00 90.00°
Fractional coordinates of all 16 atoms:
Ac 0.000 0.000 0.000
Pr 0.000 0.000 0.500
Pr 0.000 0.500 0.000
Pr 0.000 0.500 0.500
Pr 0.254 0.254 0.250
Pr 0.254 0.254 0.750
Pr 0.254 0.746 0.250
Pr 0.254 0.746 0.750
Pr 0.500 0.000 0.000
Pr 0.500 0.000 0.500
Pr 0.500 0.500 0.500
Pr 0.746 0.254 0.250
Pr 0.746 0.254 0.750
Pr 0.746 0.746 0.250
Pr 0.746 0.746 0.750
Tm 0.500 0.500 0.000

=====

No. 2
DFT (PBE-GGA) results for an optimized crystal structure of Cu2RhO.

Size of the total moment   3.1 μB/cell
Total DFT energy (no corrections)   -4.9846 eV/atom
E_form (uncorrected)   0.141 eV per atom

Cell: 6.544 6.544 4.440 Å, 90.00 90.00 90.00°
Fractional coordinates of all 16 atoms:
Cu 0.181 0.250 0.125
Cu 0.250 0.681 0.375
Cu 0.250 0.819 0.875
Cu 0.319 0.250 0.625
Cu 0.681 0.750 0.625
Cu 0.750 0.181 0.875
Cu 0.750 0.319 0.375
Cu 0.819 0.750 0.125
Rh 0.000 0.000 0.500
Rh 0.000 0.500 0.750
Rh 0.500 0.000 0.250
Rh 0.500 0.500 0.000
O 0.000 0.000 0.000
O 0.000 0.500 0.250
O 0.500 0.000 0.750
O 0.500 0.500 0.500

=====

No. 3
DFT (PBE-GGA) results for an optimized crystal structure of TlTc2O.

Size of the total moment   7.8 μB/cell
Total DFT energy (no corrections)   -5.9025 eV/atom
E_form (uncorrected)   1.112 eV per atom

Cell: 6.254 6.254 6.254 Å, 90.00 90.00 90.00°
Fractional coordinates of all 16 atoms:
Tl 0.000 0.000 0.000
Tl 0.000 0.500 0.500
Tl 0.500 0.000 0.500
Tl 0.500 0.500 0.000
Tc 0.250 0.250 0.250
Tc 0.250 0.250 0.750
Tc 0.250 0.750 0.250
Tc 0.250 0.750 0.750
Tc 0.750 0.250 0.250
Tc 0.750 0.250 0.750
Tc 0.750 0.750 0.250
Tc 0.750 0.750 0.750
O 0.000 0.000 0.500
O 0.000 0.500 0.000
O 0.500 0.000 0.000
O 0.500 0.500 0.500

=====

No. 4
DFT (PBE-GGA) results for an optimized crystal structure of CdTePtI2.

Size of the total moment   0.0 μB/cell
Total DFT energy (no corrections)   -2.4603 eV/atom
E_form (uncorrected)   0.179 eV per atom

Cell: 5.553 5.553 5.325 Å, 90.00 90.00 90.00°
Fractional coordinates of all 5 atoms:
Cd 0.000 0.000 0.000
Te 0.500 0.500 0.000
Pt 0.500 0.500 0.500
I 0.000 0.500 0.500
I 0.500 0.000 0.500

=====

No. 5
DFT (PBE-GGA) results for an optimized crystal structure of Rb2InTc.

Size of the total moment   9.1 μB/cell
Total DFT energy (no corrections)   -2.8146 eV/atom
Energy of formation from the pure elements   945.3 meV/atom

Cell: 13.175 13.175 5.288 Å, 90.00 90.00 90.00°
Fractional coordinates of all 16 atoms:
Rb 0.071 0.250 0.125
Rb 0.250 0.571 0.375
Rb 0.250 0.929 0.875
Rb 0.429 0.250 0.625
Rb 0.571 0.750 0.625
Rb 0.750 0.071 0.875
Rb 0.750 0.429 0.375
Rb 0.929 0.750 0.125
In 0.000 0.000 0.500
In 0.000 0.500 0.750
In 0.500 0.000 0.250
In 0.500 0.500 0.000
Tc 0.000 0.000 0.000
Tc 0.000 0.500 0.250
Tc 0.500 0.000 0.750
Tc 0.500 0.500 0.500

=====

No. 6
DFT (PBE-GGA) results for an optimized crystal structure of Ca2Zn3CdAu12.

Size of the total moment   0.0 μB/cell
Total DFT energy (no corrections)   -2.7650 eV/atom
Energy of formation from the pure elements   -94.5 meV/atom

Cell: 8.065 8.065 8.065 Å, 65.10 65.10 65.10°
Fractional coordinates of all 18 atoms:
Ca 0.101 0.101 0.101
Ca 0.899 0.899 0.899
Zn 0.000 0.500 0.500
Zn 0.500 0.000 0.500
Zn 0.500 0.500 0.000
Cd 0.500 0.500 0.500
Au 0.111 0.647 0.647
Au 0.134 0.134 0.600
Au 0.134 0.600 0.134
Au 0.353 0.353 0.889
Au 0.353 0.889 0.353
Au 0.400 0.866 0.866
Au 0.600 0.134 0.134
Au 0.647 0.111 0.647
Au 0.647 0.647 0.111
Au 0.866 0.400 0.866
Au 0.866 0.866 0.400
Au 0.889 0.353 0.353